YTl2Co | GGA-PBE | relaxed

symmetry = No. 123
energy of formation from the pure elements = 13.12 kJ/mol of atoms

a = 4.424 Å, b = 4.422 Å, c = 4.618 Å
α = 90.00°, β = 90.00°, γ = 90.00°
Each line ends with the local moment (μB).
Element x y z (fractional)
Co 0.000 0.500 0.500  1.57
Tl 0.000 0.000 0.000  0.00
Tl 0.500 0.500 0.000  0.00
Y 0.500 0.000 0.500  -0.03

---

YTlCo2 | GGA-PBE | relaxed

symmetry = No. 38
offset from the most stable computed form = 43 meV/atom
energy of formation from the pure elements = 1.74 kJ/mol of atoms

a = 3.889 Å, b = 4.065 Å, c = 5.180 Å
α = 66.88°, β = 90.00°, γ = 90.00°
Each line ends with the local moment (μB).
Element x y z (fractional)
Co 0.000 0.183 0.009  0.80
Co 0.500 0.070 0.235  0.95
Tl 0.000 0.474 0.427  -0.03
Y 0.500 0.773 0.829  -0.13

---

YTl2Co | GGA-PBE | relaxed

symmetry = No. 166
energy of formation from the pure elements = 9.43 kJ/mol of atoms

a = 5.836 Å, b = 5.836 Å, c = 5.836 Å
α = 45.33°, β = 45.33°, γ = 45.33°
Each line ends with the local moment (μB).
Element x y z (fractional)
Co 0.750 0.750 0.750  1.05
Tl 0.025 0.025 0.025  -0.01
Tl 0.475 0.475 0.475  -0.01
Y 0.250 0.250 0.250  -0.03

---

Y3TlCo | GGA-PBE | relaxed

symmetry = No. 12
energy of formation from the pure elements = -21.73 kJ/mol of atoms

a = 3.999 Å, b = 6.679 Å, c = 10.421 Å
α = 97.45°, β = 90.01°, γ = 107.46°
Element x y z (fractional)
Y 0.403 0.805 0.113
Y 0.165 0.331 0.621
Y 0.857 0.714 0.832
Y 0.143 0.286 0.168
Y 0.597 0.195 0.887
Y 0.835 0.669 0.379
Tl 0.568 0.135 0.386
Tl 0.432 0.865 0.614
Co 0.766 0.532 0.098
Co 0.234 0.468 0.902

---

YTl2Co | GGA-PBE | relaxed

symmetry = No. 44
energy of formation from the pure elements = 12.39 kJ/mol of atoms

a = 6.882 Å, b = 6.882 Å, c = 6.882 Å
α = 152.01°, β = 142.31°, γ = 47.60°
Each line ends with the local moment (μB).
Element x y z (fractional)
Co 0.257 0.757 0.500  0.52
Tl 0.067 0.067 0.000  -0.01
Tl 0.745 0.245 0.500  -0.01
Y 0.432 0.432 0.000  -0.08

---

Y4Tl2Co | GGA-PBE | relaxed

symmetry = No. 139
energy of formation from the pure elements = -14.29 kJ/mol of atoms

a = 4.979 Å, b = 4.979 Å, c = 8.866 Å
α = 73.69°, β = 73.69°, γ = 90.00°
Element x y z (fractional)
Y 0.827 0.827 0.347
Y 0.173 0.173 0.653
Y 0.000 0.500 0.000
Y 0.500 0.000 0.000
Tl 0.637 0.637 0.727
Tl 0.363 0.363 0.273
Co 0.000 0.000 0.000